Here is a relaxed structure of Pu4BiRh2 from the Alexandria database. Energies are from GGA-PBE.

Unit cell a=7.929 b=7.929 c=7.929 alpha=36.27 beta=36.27 gamma=36.27
Fractional positions:
Pu (0.067, 0.067, 0.067)
Pu (0.238, 0.238, 0.238)
Pu (0.762, 0.762, 0.762)
Pu (0.933, 0.933, 0.933)
Bi (0.500, 0.500, 0.500)
Rh (0.362, 0.362, 0.362)
Rh (0.638, 0.638, 0.638)

## Properties
**Crystal system**: trigonal
**ΔE_f**: -0.239 eV per atom
**Theoretical density**: 14.80 g/cm3